# 1
The following is a DFT calculation (PBE) of an optimized crystal structure of Pm5Sn2Ru4.

Cell: 6.321 6.321 7.686 Å, 106.80 106.80 64.78°
Sites, in units of the cell vectors:
Pm  0.000  0.000  0.000
Pm  0.081  0.573  0.322
Pm  0.427  0.919  0.678
Pm  0.573  0.081  0.322
Pm  0.919  0.427  0.678
Sn  0.447  0.447  0.778
Sn  0.553  0.553  0.222
Ru  0.079  0.079  0.372
Ru  0.290  0.290  0.995
Ru  0.710  0.710  0.005
Ru  0.921  0.921  0.628

Results
Electronic total energy ... -6.450 eV/atom
Density ... 8.69 g cm⁻³
Total magnetic moment ... 0.000 Bohr magnetons per cell

***

# 2
The following is a DFT calculation (PBE) of an optimized crystal structure of PmThSnRu.

Cell: 5.244 5.244 5.244 Å, 60.00 60.00 60.00°
Sites, in units of the cell vectors:
Pm  0.000  0.000  0.000
Th  0.500  0.500  0.500
Sn  0.250  0.250  0.250
Ru  0.750  0.750  0.750

Results
Electronic total energy ... -6.598 eV/atom
Density ... 9.72 g cm⁻³
Total magnetic moment ... 0.000 Bohr magnetons per cell

***

# 3
The following is a DFT calculation (PBE) of an optimized crystal structure of PmTmSn4Ru2.

Cell: 4.467 4.467 10.029 Å, 90.00 90.00 90.00°
Sites, in units of the cell vectors:
Pm  0.000  0.000  0.000
Tm  0.000  0.000  0.500
Sn  0.000  0.500  0.273
Sn  0.000  0.500  0.727
Sn  0.500  0.000  0.273
Sn  0.500  0.000  0.727
Ru  0.500  0.500  0.116
Ru  0.500  0.500  0.884

Results
Electronic total energy ... -5.740 eV/atom
Density ... 8.22 g cm⁻³
Total magnetic moment ... 0.000 Bohr magnetons per cell

***

# 4
The following is a DFT calculation (PBE) of an optimized crystal structure of PmYSnRu.

Cell: 5.145 5.145 5.145 Å, 60.00 60.00 60.00°
Sites, in units of the cell vectors:
Pm  0.000  0.000  0.000
Y  0.500  0.500  0.500
Sn  0.250  0.250  0.250
Ru  0.750  0.750  0.750

Results
Electronic total energy ... -6.486 eV/atom
Density ... 7.82 g cm⁻³
Total magnetic moment ... 0.000 Bohr magnetons per cell
Energy relative to the lowest polymorph listed for this composition ... 106 meV/atom